(1)
Tm3Ni9SnGe2 | PBE | optimized geometry

Calculated values
As for the total energy: -5.431 eV per atom. The formation energy comes out at -0.185 eV/atom.

abc: 5.9107 5.9107 9.0481
angles: 90.00 90.00 120.00
Space group P-3m1 (No. 164)
Unique sites:
Tm: 0.0000 0.0000 0.0000 [1 per cell]
Tm: 0.3333 0.6667 0.7385 [2 per cell]
Ni: 0.0000 0.5000 0.0000 [3 per cell]
Ni: 0.1340 0.2679 0.2666 [6 per cell]
Sn: 0.0000 0.0000 0.5000 [1 per cell]
Ge: 0.3333 0.6667 0.1757 [2 per cell]



(2)
ZnNi7Sn2Ge2 | PBE | optimized geometry

Calculated values
As for the total energy: -4.981 eV per atom. The formation energy comes out at -0.065 eV/atom.

abc: 5.165 5.134 13.442
angles: 90.00 97.16 90.00
Space group C2/m (No. 12)
Unique sites:
Zn: 0.000 0.000 0.000 [2 per cell]
Ni: 0.000 0.500 0.000 [2 per cell]
Ni: 0.132 0.500 0.426 [4 per cell]
Ni: 0.209 0.250 0.868 [8 per cell]
Sn: 0.120 0.000 0.386 [4 per cell]
Ge: 0.078 0.500 0.247 [4 per cell]



(3)
SrNi2Ge2 | PBE | optimized geometry

Calculated values
As for the total energy: -4.554 eV per atom. The formation energy comes out at -0.058 eV/atom.

abc: 7.721 7.721 2.956
angles: 90.00 90.00 90.00
Space group P4/mbm (No. 127)
Unique sites:
Sr: 0.000 0.000 0.000 [2 per cell]
Ni: 0.130 0.370 0.500 [4 per cell]
Ge: 0.134 0.634 0.000 [4 per cell]



(4)
Sr3Ni6Ge5 | PBE | optimized geometry

Calculated values
As for the total energy: -4.922 eV per atom. The formation energy comes out at -0.435 eV/atom.

abc: 4.015 12.349 10.859
angles: 90.00 90.00 90.00
Space group Pmmn (No. 59, origin choice 2)
Unique sites:
Sr: 0.250 0.083 0.243 [4 per cell]
Sr: 0.250 0.750 0.255 [2 per cell]
Ni: 0.250 0.050 0.945 [4 per cell]
Ni: 0.250 0.250 0.503 [2 per cell]
Ni: 0.250 0.250 0.992 [2 per cell]
Ni: 0.250 0.583 0.501 [4 per cell]
Ge: 0.250 0.082 0.612 [4 per cell]
Ge: 0.250 0.635 0.995 [4 per cell]
Ge: 0.250 0.750 0.610 [2 per cell]



(5)
SrNi9Ge4 | PBE | optimized geometry

Calculated values
As for the total energy: -5.506 eV per atom. The formation energy comes out at -0.350 eV/atom.

abc: 8.004 8.004 11.857
angles: 90.00 90.00 90.00
Space group I4/mcm (No. 140)
Unique sites:
Sr: 0.000 0.000 0.250 [4 per cell]
Ni: 0.000 0.500 0.000 [4 per cell]
Ni: 0.069 0.204 0.000 [16 per cell]
Ni: 0.123 0.377 0.181 [16 per cell]
Ge: 0.174 0.326 0.378 [16 per cell]



(6)
Sr2Ni2Ge | PBE | optimized geometry

Calculated values
As for the total energy: -4.237 eV per atom. The formation energy comes out at -0.328 eV/atom.

abc: 4.1508 4.1508 27.3459
angles: 90.00 90.00 120.00
Space group R-3m (No. 166, hexagonal axes)
Unique sites:
Sr: 0.0000 0.0000 0.0752 [6 per cell]
Ni: 0.0000 0.0000 0.1822 [6 per cell]
Ge: 0.0000 0.0000 0.5000 [3 per cell]



(7)
Sr2NiGe | PBE | optimized geometry

Calculated values
As for the total energy: -3.260 eV per atom. The formation energy comes out at 0.181 eV/atom.

abc: 8.223 8.223 6.675
angles: 90.00 90.00 90.00
Space group I-42d (No. 122)
Unique sites:
Sr: 0.217 0.250 0.125 [8 per cell]
Ni: 0.000 0.000 0.000 [4 per cell]
Ge: 0.000 0.000 0.500 [4 per cell]



(8)
Sr2NiGe3 | PBE | optimized geometry

Calculated values
As for the total energy: -4.374 eV per atom. The formation energy comes out at -0.541 eV/atom.

abc: 4.205 4.698 7.350
angles: 90.00 90.00 90.00
Space group Pmm2 (No. 25)
Unique sites:
Sr: 0.000 0.000 0.000 [1 per cell]
Sr: 0.500 0.000 0.490 [1 per cell]
Ni: 0.500 0.500 0.172 [1 per cell]
Ge: 0.000 0.500 0.307 [1 per cell]
Ge: 0.000 0.500 0.655 [1 per cell]
Ge: 0.500 0.500 0.854 [1 per cell]